A plane-wave DFT calculation with GGA-PBE was carried out for an optimized crystal structure of NdZn10Ag2.

a b c (Å): 5.449 6.824 6.985
angles (deg): 81.11 67.12 67.01
Space group P-1 (No. 2)
Symmetry-distinct sites (fractional):
1 Nd 0.000 0.000 0.000 (multiplicity 1)
2 Zn 0.000 0.500 0.000 (multiplicity 1)
3 Zn 0.003 0.639 0.350 (multiplicity 2)
4 Zn 0.283 0.221 0.212 (multiplicity 2)
5 Zn 0.356 0.639 0.650 (multiplicity 2)
6 Zn 0.496 0.220 0.788 (multiplicity 2)
7 Zn 0.500 0.500 0.000 (multiplicity 1)
8 Ag 0.000 0.000 0.500 (multiplicity 1)
9 Ag 0.500 0.000 0.500 (multiplicity 1)


A plane-wave DFT calculation with GGA-PBE was carried out for an optimized crystal structure of Nd4Zn2Ag5.

a b c (Å): 7.754 3.858 9.029
angles (deg): 90.00 92.53 90.00
Space group P2/m (No. 10)
Symmetry-distinct sites (fractional):
1 Nd 0.217 0.000 0.139 (multiplicity 2)
2 Nd 0.265 0.000 0.626 (multiplicity 2)
3 Zn 0.065 0.500 0.378 (multiplicity 2)
4 Ag 0.127 0.500 0.877 (multiplicity 2)
5 Ag 0.409 0.500 0.362 (multiplicity 2)
6 Ag 0.500 0.500 0.000 (multiplicity 1)


A plane-wave DFT calculation with GGA-PBE was carried out for an optimized crystal structure of NdZn7Ag5.

a b c (Å): 5.456 9.342 9.164
angles (deg): 90.00 90.00 90.00
Space group Imm2 (No. 44)
Symmetry-distinct sites (fractional):
1 Nd 0.000 0.000 0.000 (multiplicity 2)
2 Zn 0.000 0.000 0.361 (multiplicity 2)
3 Zn 0.000 0.000 0.651 (multiplicity 2)
4 Zn 0.000 0.280 0.508 (multiplicity 4)
5 Zn 0.000 0.354 0.017 (multiplicity 4)
6 Zn 0.000 0.500 0.693 (multiplicity 2)
7 Ag 0.000 0.500 0.292 (multiplicity 2)
8 Ag 0.248 0.262 0.761 (multiplicity 8)


A plane-wave DFT calculation with GGA-PBE was carried out for an optimized crystal structure of NdZn4Ag.

Polymorph energy (0 for the lowest one) = 26 meV/atom

a b c (Å): 7.627 7.627 7.627
angles (deg): 90.00 90.00 90.00
Space group F-43m (No. 216)
Symmetry-distinct sites (fractional):
1 Nd 0.000 0.000 0.000 (multiplicity 4)
2 Zn 0.125 0.125 0.375 (multiplicity 16)
3 Ag 0.250 0.250 0.750 (multiplicity 4)


A plane-wave DFT calculation with GGA-PBE was carried out for an optimized crystal structure of NdZn2Ag.

a b c (Å): 6.846 6.846 6.846
angles (deg): 90.00 90.00 90.00
Space group Fm-3m (No. 225)
Symmetry-distinct sites (fractional):
1 Nd 0.000 0.000 0.000 (multiplicity 4)
2 Zn 0.250 0.250 0.250 (multiplicity 8)
3 Ag 0.000 0.000 0.500 (multiplicity 4)


A plane-wave DFT calculation with GGA-PBE was carried out for an optimized crystal structure of Nd2Zn3Ag2.

a b c (Å): 10.310 4.659 6.766
angles (deg): 90.00 112.50 90.00
Space group C2/m (No. 12)
Symmetry-distinct sites (fractional):
1 Nd 0.154 0.000 0.262 (multiplicity 4)
2 Zn 0.000 0.500 0.500 (multiplicity 2)
3 Zn 0.095 0.500 0.918 (multiplicity 4)
4 Ag 0.143 0.000 0.733 (multiplicity 4)


no.,formation enthalpy at 0 K (eV/atom),total moment (μB per formula unit)
1,-0.15,0.00
2,-0.23,0.00
3,-0.10,0.00
4,-0.16,0.00
5,-0.28,0.00
6,-0.29,0.00